No. 1
First-principles (PBE) data for a relaxed TlIn3SnBi crystal, as listed in the Alexandria database.

Cell and atoms, written as POSCAR:
```
TlIn3SnBi
1.0
-1.308 -2.649 -4.051
6.073 -4.781 1.166
-8.981 -2.228 4.358
In Bi Sn Tl
6 2 2 2
Cartesian
4.009 -6.303 -1.827
-3.570 -5.334 3.091
-8.226 -3.355 3.300
-3.593 -4.981 -0.236
-0.646 -4.324 -1.617
-0.624 -4.678 1.710
2.615 -4.001 0.221
-6.831 -5.657 1.252
-1.988 -1.972 0.380
-2.229 -7.686 1.093
-5.223 -2.629 1.855
1.007 -7.030 -0.382
```

Calculated values
The volume comes out at 29.20 Å³ per atom. The calculation puts the formation energy from the elements at 0.03 eV per atom.

***

No. 2
First-principles (PBE) data for a relaxed Ac4Tl5Ag crystal, as listed in the Alexandria database.

Cell and atoms, written as POSCAR:
```
Ac4Tl5Ag
1.0
5.273 0.000 -1.808
-0.655 6.724 -1.909
0.261 -0.037 9.354
Ac Tl Ag
4 5 1
Cartesian
4.934 1.025 5.798
3.536 1.972 1.719
-0.055 5.662 -0.161
1.343 4.715 3.918
4.516 4.119 4.578
2.309 3.362 -1.859
3.312 5.461 1.067
0.363 2.569 1.059
1.567 1.226 4.571
2.637 0.000 -0.904
```

Calculated values
The volume comes out at 33.44 Å³ per atom. The calculation puts the formation energy from the elements at -0.29 eV per atom.

***

No. 3
First-principles (PBE) data for a relaxed NaMnCdCl2 crystal, as listed in the Alexandria database.

Cell and atoms, written as POSCAR:
```
NaMnCdCl2
1.0
4.969 0.000 0.000
0.000 5.600 0.000
0.000 0.000 4.969
Na Cl Cd Mn
1 2 1 1
Cartesian
2.485 2.800 2.485
0.000 0.000 2.485
2.485 0.000 0.000
0.000 2.800 0.000
0.000 0.000 0.000
```

Calculated values
The volume comes out at 27.65 Å³ per atom. The calculation puts the formation energy from raw total energies at -498.7 meV per atom.

***

No. 4
First-principles (PBE) data for a relaxed BMoP3 crystal, as listed in the Alexandria database.

Cell and atoms, written as POSCAR:
```
BMoP3
1.0
-3.211 -1.854 1.641
-0.693 -1.907 -3.510
2.377 -3.060 1.194
P B Mo
3 1 1
Cartesian
-1.605 -0.927 0.821
1.188 -1.530 0.597
-0.346 -0.954 -1.755
0.000 0.000 0.000
-0.763 -3.411 -0.338
```

Calculated values
The distance to the lowest polymorph of the same formula comes out at 0 meV/atom. The volume comes out at 13.33 Å³ per atom. The calculation puts the formation energy from the elements at 0.91 eV per atom.

***

No. 5
First-principles (PBE) data for a relaxed La6Pr8Al crystal, as listed in the Alexandria database.

Cell and atoms, written as POSCAR:
```
La6Pr8Al
1.0
-5.947 2.085 -2.121
3.626 1.355 -8.836
-3.839 -8.523 2.384
Pr La Al
8 6 1
Cartesian
0.276 -1.636 -5.403
-5.134 -3.981 -6.372
-5.653 -0.487 -1.480
-0.506 -4.596 -7.093
-1.026 -1.102 -2.201
-6.436 -3.447 -3.169
1.528 1.083 -7.213
-7.687 -6.166 -1.360
-3.755 -1.016 -4.537
-4.131 -6.579 -1.665
-2.405 -4.067 -4.036
-2.842 -2.073 -8.137
-2.029 1.496 -6.908
-3.317 -3.010 -0.436
-2.974 1.043 -1.060
```

Calculated values
The volume comes out at 35.72 Å³ per atom. The calculation puts the formation energy from the elements at 0.06 eV per atom.

***

No. 6
First-principles (PBE) data for a relaxed Pr3Nd4Dy5 crystal, as listed in the Alexandria database.

Cell and atoms, written as POSCAR:
```
Pr3Nd4Dy5
1.0
-4.520 -5.450 1.593
6.796 1.352 -9.158
-2.142 -4.317 12.179
Nd Dy Pr
4 5 3
Cartesian
1.170 -1.194 -0.777
-1.036 -7.220 5.391
0.027 -1.658 2.671
0.107 -6.757 1.943
0.008 -3.418 -3.383
-1.109 -3.910 0.016
1.243 -4.505 4.598
0.126 -4.997 7.997
-3.331 -4.884 6.886
-1.071 -2.159 6.089
2.358 -4.038 1.149
-2.223 -4.377 3.465
```

Calculated values
The distance to the lowest polymorph of the same formula comes out at 0 meV/atom. The volume comes out at 33.86 Å³ per atom. The calculation puts the formation energy from the elements at 0.02 eV per atom.

***

No. 7
First-principles (PBE) data for a relaxed BaNaSeI crystal, as listed in the Alexandria database.

Cell and atoms, written as POSCAR:
```
BaNaSeI
1.0
4.905 0.000 0.000
2.452 4.248 0.000
2.452 1.416 15.532
Se Na I Ba
2 2 2 2
Cartesian
4.905 2.832 1.987
4.905 2.832 13.545
7.357 4.248 14.554
2.452 1.416 0.978
7.357 4.248 9.738
2.452 1.416 5.794
7.357 4.248 3.835
2.452 1.416 11.697
```

Calculated values
The volume comes out at 40.45 Å³ per atom. The calculation puts the formation energy from raw total energies at -1556.3 meV per atom.

***

No. 8
First-principles (PBE) data for a relaxed SrDyC crystal, as listed in the Alexandria database.

Cell and atoms, written as POSCAR:
```
SrDyC
1.0
3.992 0.000 0.000
0.000 10.137 0.469
-1.996 -0.631 9.388
Dy Sr C
4 4 4
Cartesian
1.996 0.991 4.312
0.000 8.515 5.545
1.996 6.021 4.410
0.000 3.485 5.447
0.000 3.544 2.059
1.996 5.962 7.798
0.000 0.784 7.967
1.996 8.722 1.890
1.996 8.528 4.350
1.996 3.560 3.953
0.000 5.946 5.903
0.000 0.978 5.507
```

Calculated values
The volume comes out at 31.76 Å³ per atom. The calculation puts the formation energy from the elements at 0.09 eV per atom.

***

No. 9
First-principles (PBE) data for a relaxed Li2ScTaRe crystal, as listed in the Alexandria database.

Cell and atoms, written as POSCAR:
```
Li2ScTaRe
1.0
-2.529 3.894 -0.813
-2.746 -1.009 3.709
2.883 2.458 2.804
Sc Ta Re Li
1 1 1 2
Cartesian
-1.196 2.671 2.850
-1.373 -0.505 1.855
0.000 0.000 0.000
-1.264 1.947 -0.407
1.442 1.229 1.402
```

Calculated values
The volume comes out at 20.99 Å³ per atom. The calculation puts the formation energy from the elements at 0.98 eV per atom.

***

No. 10
First-principles (PBE) data for a relaxed Sn2WCl8 crystal, as listed in the Alexandria database.

Cell and atoms, written as POSCAR:
```
Sn2WCl8
1.0
5.918 0.000 -2.819
-0.044 7.335 -0.093
0.030 -0.063 7.684
Cl Sn W
8 2 1
Cartesian
4.256 1.583 5.093
1.647 5.689 -0.321
1.273 1.583 6.514
1.835 4.109 3.853
0.992 0.777 2.083
4.068 3.162 0.919
4.631 5.689 -1.742
4.911 6.494 2.690
5.114 3.829 3.115
0.789 3.442 1.657
0.000 0.000 0.000
```

Calculated values
The volume comes out at 30.37 Å³ per atom. The calculation puts the formation energy from raw total energies at -854.5 meV per atom.

***

No. 11
First-principles (PBE) data for a relaxed LiPrTe crystal, as listed in the Alexandria database.

Cell and atoms, written as POSCAR:
```
LiPrTe
1.0
4.208 0.000 0.000
0.000 4.513 0.000
0.000 -2.257 3.909
Te Li Pr
1 1 1
Cartesian
0.701 0.000 2.606
0.702 0.000 0.000
2.805 2.257 1.303
```

Calculated values
The distance to the lowest polymorph of the same formula comes out at 26 meV/atom. The volume comes out at 24.74 Å³ per atom. The calculation puts the formation energy from raw total energies at -1001.5 meV per atom.

***

No. 12
First-principles (PBE) data for a relaxed VCd2Ni crystal, as listed in the Alexandria database.

Cell and atoms, written as POSCAR:
```
VCd2Ni
1.0
-4.510 -3.496 -4.898
1.474 -6.576 3.336
-3.596 -4.665 0.868
Cd Ni V
4 2 2
Cartesian
-3.891 -7.028 -0.060
-3.703 -4.305 -2.611
-5.298 -12.559 -0.589
-0.372 -5.582 1.874
-4.812 -6.598 -2.405
0.000 0.000 0.000
-1.820 -8.138 1.712
-1.518 -5.036 -0.781
```

Calculated values
The distance to the lowest polymorph of the same formula comes out at 281 meV/atom. The volume comes out at 18.93 Å³ per atom. The calculation puts the formation energy from the elements at 0.61 eV per atom.

***

For each record above, in turn, the calculated D(E_F) values are 0.4290, 0.7154, 0.5624, 1.1661, 1.4125, 1.3681, 0.0000, 0.5940, 1.0107, 0.5365, 0.0871, 1.6330 states/eV per atom.
For each record above, in turn, the calculated E values are -3.050, -3.398, -3.518, -5.837, -4.712, -4.686, -3.625, -5.081, -5.915, -4.103, -4.280, -3.575 eV/atom.
For each record above, in turn, the calculated total magnetization values are 0.0, 0.0, 4.2, 0.0, 0.0, 0.0, 0.0, 0.0, 0.0, 2.0, 0.0, 3.0 μB per formula unit.